Mn2SbO | GGA+U | optimized geometry

total magnetic moment	2.25	μB/atom
E above lowest polymorph	3.11	eV/f.u.
Fermi-level density of states	1.399	states/eV per atom
symmetry	Fm-3m
final energy	-5.854	eV/atom

a b c (Å): 4.6581 4.6581 4.6581
angles (deg): 60.00 60.00 60.00
Site moments in Bohr magnetons follow the coordinates.
Fractional coordinates of all 4 atoms:
Mn 0.2500 0.2500 0.2500  4.50
Mn 0.7500 0.7500 0.7500  4.50
Sb 0.5000 0.5000 0.5000  -0.18
O 0.0000 0.0000 0.0000  -0.16

MnSbO4 | GGA+U | optimized geometry

total magnetic moment	0.67	μB/atom
Fermi-level density of states	0.153	states/eV per atom
symmetry	Cm
final energy	-6.658	eV/atom

a b c (Å): 3.9664 7.9941 10.6293
angles (deg): 72.98 90.00 75.64
Site moments in Bohr magnetons follow the coordinates.
Fractional coordinates of all 24 atoms:
O 0.5095 0.9812 0.9698  -0.05
O 0.1086 0.7829 0.1552  -0.04
O 0.8020 0.3956 0.5843  -0.02
O 0.0173 0.9653 0.4651  -0.02
O 0.3703 0.2592 0.4151  -0.03
Sb 0.8108 0.3785 0.0581  0.02
O 0.9464 0.1071 0.1558  -0.05
O 0.8646 0.2712 0.9125  -0.04
O 0.5568 0.8862 0.3388  0.03
O 0.0504 0.8993 0.8538  -0.04
Mn 0.7487 0.5023 0.7402  4.22
O 0.6960 0.6082 0.9091  0.01
O 0.4453 0.1092 0.6668  0.00
O 0.2020 0.5958 0.3982  -0.03
Sb 0.5609 0.8782 0.8198  0.02
O 0.3018 0.3967 0.0931  -0.05
O 0.2582 0.4833 0.7048  -0.08
Mn 0.2525 0.4953 0.2445  4.01
Sb 0.0645 0.8709 0.3129  0.02
O 0.7637 0.4729 0.2125  -0.07
Sb 0.3140 0.3717 0.5587  0.02
Mn 0.9974 0.0054 0.0066  3.76
Mn 0.5007 0.9985 0.5088  4.00
O 0.6075 0.7849 0.6654  -0.05

MnSbO4 | GGA+U | optimized geometry

total magnetic moment	0.67	μB/atom
symmetry	P2_1/c
final energy	-6.720	eV/atom

a b c (Å): 4.7203 5.6724 10.4167
angles (deg): 90.00 90.00 90.07
Site moments in Bohr magnetons follow the coordinates.
Fractional coordinates of all 24 atoms:
Mn 0.0000 0.0000 0.0000  3.94
O 0.7632 0.9715 0.8295  0.00
O 0.7319 0.4715 0.8306  0.00
O 0.8025 0.2554 0.0842  -0.04
O 0.7681 0.0285 0.3306  0.00
O 0.7368 0.5285 0.3295  0.00
Sb 0.5025 0.7961 0.2500  0.03
Mn 0.5000 0.5000 0.5000  3.94
Sb 0.9975 0.7039 0.7500  0.03
Mn 0.5000 0.5000 0.0000  3.95
O 0.6975 0.2446 0.5842  -0.04
Sb 0.0025 0.2961 0.2500  0.03
O 0.7993 0.7434 0.5833  -0.04
O 0.3025 0.7554 0.4158  -0.04
O 0.2681 0.5285 0.1694  0.00
O 0.2007 0.2566 0.4167  -0.04
Sb 0.4975 0.2039 0.7500  0.03
O 0.2368 0.0285 0.1705  0.00
O 0.2993 0.2434 0.9167  -0.04
O 0.1975 0.7446 0.9158  -0.04
O 0.2319 0.9715 0.6694  0.00
O 0.2632 0.4715 0.6705  0.00
O 0.7007 0.7566 0.0833  -0.04
Mn 0.0000 0.0000 0.5000  3.95

> final energy of number 3 (MnSbO4)?

-6.720 eV/atom

> Among the records above, which one has the highest final energy?

Mn2SbO